Entry 1:
Density functional theory data (SCAN) for BaSr2Al at its PBEsol-relaxed geometry.

Summary:
space-group type	No. 71
DOS(E_F)	0.93	states/eV/atom
formation enthalpy at 0 K	-0.013	eV/atom

Cell lengths 4.090, 6.214, 7.599 Å; angles 114.14, 105.61, 90.00 degrees
Sites, in units of the cell vectors:
Sr 0.804 0.804 0.608
Sr 0.196 0.196 0.392
Al 0.500 0.000 0.000
Ba 0.000 0.500 0.000



Entry 2:
Density functional theory data (SCAN) for BaSr2Al at its PBEsol-relaxed geometry.

Summary:
space-group type	No. 123
DOS(E_F)	1.19	states/eV/atom
formation enthalpy at 0 K	-0.025	eV/atom

Cell lengths 3.975, 3.975, 10.574 Å; angles 90.00, 90.00, 90.00 degrees
Sites, in units of the cell vectors:
Al 0.500 0.500 0.000
Sr 0.000 0.000 0.822
Sr 0.000 0.000 0.178
Ba 0.500 0.500 0.500



Entry 3:
Density functional theory data (SCAN) for BaSrAl4 at its PBEsol-relaxed geometry.

Summary:
space-group type	No. 216
DOS(E_F)	0.60	states/eV/atom
formation enthalpy at 0 K	-0.217	eV/atom

Cell lengths 5.877, 5.877, 5.877 Å; angles 60.00, 60.00, 60.00 degrees
Sites, in units of the cell vectors:
Ba 0.750 0.750 0.750
Sr 0.000 0.000 0.000
Al 0.875 0.375 0.375
Al 0.375 0.375 0.375
Al 0.375 0.375 0.875
Al 0.375 0.875 0.375



Entry 4:
Density functional theory data (SCAN) for BaSr2Al at its PBEsol-relaxed geometry.

Summary:
space-group type	No. 123
DOS(E_F)	1.62	states/eV/atom
formation enthalpy at 0 K	0.071	eV/atom

Cell lengths 5.323, 5.323, 5.446 Å; angles 90.00, 90.00, 90.00 degrees
Sites, in units of the cell vectors:
Sr 0.000 0.500 0.000
Sr 0.500 0.000 0.000
Ba 0.000 0.000 0.500
Al 0.500 0.500 0.500



Entry 5:
Density functional theory data (SCAN) for BaSr2Al2 at its PBEsol-relaxed geometry.

Summary:
space-group type	No. 127
DOS(E_F)	0.53	states/eV/atom
energy above the most stable polymorph in this dataset	35	meV per atom
formation enthalpy at 0 K	-0.055	eV/atom

Cell lengths 3.721, 9.473, 9.473 Å; angles 90.00, 90.00, 90.00 degrees
Sites, in units of the cell vectors:
Al 0.500 0.666 0.834
Al 0.500 0.166 0.666
Al 0.500 0.334 0.166
Al 0.500 0.834 0.334
Ba 0.000 0.000 0.000
Ba 0.000 0.500 0.500
Sr 0.000 0.631 0.131
Sr 0.000 0.869 0.631
Sr 0.000 0.369 0.869
Sr 0.000 0.131 0.369



Entry 6:
Density functional theory data (SCAN) for BaSr2Al2 at its PBEsol-relaxed geometry.

Summary:
space-group type	No. 139
DOS(E_F)	0.99	states/eV/atom
energy above the most stable polymorph in this dataset	56	meV per atom
formation enthalpy at 0 K	-0.033	eV/atom

Cell lengths 5.296, 5.296, 7.703 Å; angles 110.10, 110.10, 90.00 degrees
Sites, in units of the cell vectors:
Ba 0.000 0.000 0.000
Al 0.594 0.594 0.189
Al 0.406 0.406 0.811
Sr 0.250 0.750 0.500
Sr 0.750 0.250 0.500